Here is AcHo2Th after structural relaxation from the Alexandria database. Energies are from PBE-GGA.

Unit cell a=5.9849 b=5.9849 c=3.8396 alpha=90.00 beta=90.00 gamma=90.00
Space group P4/mmm (No. 123)
One atom of each set of equivalent atoms:
Ac (0.0000, 0.0000, 0.0000) (multiplicity 1)
Ho (0.0000, 0.5000, 0.5000) (multiplicity 2)
Th (0.5000, 0.5000, 0.0000) (multiplicity 1)



Here is AcHoTh after structural relaxation from the Alexandria database. Energies are from PBE-GGA.

Unit cell a=3.6922 b=3.6922 c=9.0368 alpha=90.00 beta=90.00 gamma=120.00
Space group P3m1 (No. 156)
One atom of each set of equivalent atoms:
Ac (0.0000, 0.0000, 0.0000) (multiplicity 1)
Ho (0.6667, 0.3333, 0.3527) (multiplicity 1)
Th (0.3333, 0.6667, 0.6619) (multiplicity 1)



Sequential polymorph energy (0 for the lowest one) output: 0.093, 0.007 eV per atom
Sequential M_tot output: 0.00, 0.00 μB per cell
Sequential formation energy output: 133, 97 meV/atom